Record 1
First-principles (SCAN) data for SrBi2SN at its PBEsol-relaxed geometry, as listed in the Alexandria database.

The structure in CIF format:
```
data_SrBi2SN
_symmetry_space_group_name_H-M 'P 4/m m m'
_symmetry_Int_Tables_number 123
_symmetry_space_group_name_Hall '-P 4 2'
_cell_length_a 6.152
_cell_length_b 6.152
_cell_length_c 5.372
_cell_angle_alpha 90.00
_cell_angle_beta 90.00
_cell_angle_gamma 90.00
loop_
_atom_site_label
_atom_site_fract_x
_atom_site_fract_y
_atom_site_fract_z
Sr1 0.000 0.000 0.000
Bi1 0.000 0.500 0.000
S1 0.000 0.000 0.500
N1 0.500 0.500 0.500
```

Values from the calculation:
Calculated volume ... 203.3 Å³/cell
E_tot ... -191.15 eV for the cell shown
Mass density ... 4.5 g/cm³
Raw formation energy ... 1441.5 meV per atom

Record 2
First-principles (SCAN) data for BiWS2N at its PBEsol-relaxed geometry, as listed in the Alexandria database.

The structure in CIF format:
```
data_BiWS2N
_symmetry_space_group_name_H-M 'P 4/m m m'
_symmetry_Int_Tables_number 123
_symmetry_space_group_name_Hall '-P 4 2'
_cell_length_a 4.837
_cell_length_b 4.837
_cell_length_c 3.810
_cell_angle_alpha 90.00
_cell_angle_beta 90.00
_cell_angle_gamma 90.00
loop_
_atom_site_label
_atom_site_fract_x
_atom_site_fract_y
_atom_site_fract_z
Bi1 0.000 0.000 0.000
W1 0.500 0.500 0.500
S1 0.000 0.500 0.500
N1 0.500 0.500 0.000
```

Values from the calculation:
Calculated volume ... 89.1 Å³/cell
E_tot ... -176.39 eV for the cell shown
Mass density ... 8.8 g/cm³
Raw formation energy ... 85.6 meV per atom

Record 3
First-principles (SCAN) data for BiWSN2 at its PBEsol-relaxed geometry, as listed in the Alexandria database.

The structure in CIF format:
```
data_BiWSN2
_symmetry_space_group_name_H-M 'P 4/m m m'
_symmetry_Int_Tables_number 123
_symmetry_space_group_name_Hall '-P 4 2'
_cell_length_a 4.183
_cell_length_b 4.183
_cell_length_c 5.083
_cell_angle_alpha 90.00
_cell_angle_beta 90.00
_cell_angle_gamma 90.00
loop_
_atom_site_label
_atom_site_fract_x
_atom_site_fract_y
_atom_site_fract_z
Bi1 0.000 0.000 0.000
W1 0.500 0.500 0.500
S1 0.000 0.000 0.500
N1 0.000 0.500 0.000
```

Values from the calculation:
Calculated volume ... 88.9 Å³/cell
E_tot ... -164.48 eV for the cell shown
Mass density ... 8.5 g/cm³
Raw formation energy ... 2399.7 meV per atom